Record 1
CrSbTe2Br: optimized geometry, PBE-GGA.

Calculated values
The calculation puts the density of states at the Fermi level at 4.86 states/eV/cell. As for the uncorrected formation energy: 1.122 eV/atom. Its symmetry is P4/mmm (123). The energy above the lowest structure with this stoichiometry comes out at 82.7 kJ/mol of atoms. Its total DFT energy (no corrections) is -16.1 eV per cell.

POSCAR file:
```
CrSbTe2Br
1.0
5.6513 0.0000 0.0000
0.0000 5.6513 0.0000
0.0000 0.0000 5.4745
Cr Sb Te Br
1 1 2 1
direct
0.0000 0.0000 0.0000
0.5000 0.5000 0.0000
0.0000 0.5000 0.5000
0.5000 0.0000 0.5000
0.5000 0.5000 0.5000
```

Record 2
InCoAsI2: optimized geometry, PBE-GGA.

Calculated values
The calculation puts the density of states at the Fermi level at 6.23 states/eV/cell. As for the uncorrected formation energy: 0.881 eV/atom. Its symmetry is P4/mmm (123). Its total DFT energy (no corrections) is -13.2 eV per cell.

POSCAR file:
```
InCoAsI2
1.0
5.7467 0.0000 0.0000
0.0000 5.7467 0.0000
0.0000 0.0000 5.5702
In Co As I
1 1 1 2
direct
0.0000 0.0000 0.0000
0.5000 0.5000 0.0000
0.0000 0.0000 0.5000
0.0000 0.5000 0.5000
0.5000 0.0000 0.5000
```

Record 3
Pu4Ge16Ru3: optimized geometry, PBE-GGA.

Calculated values
The calculation puts the density of states at the Fermi level at 37.05 states/eV/cell. Its symmetry is P4/mmm (123). The value obtained for the energy relative to the elements is -0.316 eV per atom. Its total DFT energy (no corrections) is -166.3 eV per cell.

POSCAR file:
```
Pu4Ge16Ru3
1.0
6.1682 0.0000 0.0000
0.0000 6.1682 0.0000
0.0000 0.0000 11.2166
Pu Ge Ru
4 16 3
direct
0.0000 0.5000 0.1901
0.0000 0.5000 0.8099
0.5000 0.0000 0.1901
0.5000 0.0000 0.8099
0.0000 0.0000 0.2111
0.0000 0.0000 0.7889
0.2136 0.2136 0.0000
0.2136 0.7864 0.0000
0.2483 0.2483 0.3778
0.2483 0.2483 0.6222
0.2483 0.7517 0.3778
0.2483 0.7517 0.6222
0.5000 0.5000 0.2292
0.5000 0.5000 0.7708
0.7517 0.2483 0.3778
0.7517 0.2483 0.6222
0.7517 0.7517 0.3778
0.7517 0.7517 0.6222
0.7864 0.2136 0.0000
0.7864 0.7864 0.0000
0.0000 0.5000 0.5000
0.5000 0.0000 0.5000
0.5000 0.5000 0.0000
```

Record 4
MgZrNb: optimized geometry, PBE-GGA.

Calculated values
The calculation puts the density of states at the Fermi level at 2.75 states/eV/cell. Its symmetry is P3m1 (156). The value obtained for the energy relative to the elements is 0.196 eV per atom. The energy above the lowest structure with this stoichiometry comes out at 0.0 kJ/mol of atoms. Its total DFT energy (no corrections) is -19.6 eV per cell.

POSCAR file:
```
MgZrNb
1.0
2.9741 0.0000 0.0000
-1.4870 2.5756 0.0000
0.0000 0.0000 8.1049
Mg Zr Nb
1 1 1
direct
0.0000 0.0000 0.0000
0.6667 0.3333 0.3435
0.3333 0.6667 0.6813
```

Record 5
Li2MoRh: optimized geometry, PBE-GGA.

Calculated values
The calculation puts the density of states at the Fermi level at 3.31 states/eV/cell. Its symmetry is Pmmm (47). The value obtained for the energy relative to the elements is 0.183 eV per atom. The energy above the lowest structure with this stoichiometry comes out at 13.7 kJ/mol of atoms. Its total DFT energy (no corrections) is -21.3 eV per cell.

POSCAR file:
```
Li2MoRh
1.0
2.6440 0.0000 0.0000
0.0000 4.3652 0.0000
0.0000 0.0000 4.9505
Li Mo Rh
2 1 1
direct
0.0000 0.0000 0.2379
0.0000 0.0000 0.7621
0.5000 0.5000 0.5000
0.5000 0.5000 0.0000
```

Record 6
LiPm2CoC: optimized geometry, PBE-GGA.

Calculated values
The calculation puts the density of states at the Fermi level at 2.90 states/eV/cell. Its symmetry is P4/mmm (123). The value obtained for the energy relative to the elements is -0.144 eV per atom. Its total DFT energy (no corrections) is -28.5 eV per cell.

POSCAR file:
```
LiPm2CoC
1.0
5.1915 0.0000 0.0000
0.0000 5.1915 0.0000
0.0000 0.0000 3.6602
Li Pm Co C
1 2 1 1
direct
0.0000 0.0000 0.0000
0.0000 0.5000 0.5000
0.5000 0.0000 0.5000
0.5000 0.5000 0.0000
0.5000 0.5000 0.5000
```

Record 7
Ca2SbRu: optimized geometry, PBE-GGA.

Calculated values
The calculation puts the density of states at the Fermi level at 4.40 states/eV/cell. As for the uncorrected formation energy: -0.155 eV/atom. Its symmetry is I-42d (122). Its total DFT energy (no corrections) is -36.0 eV per cell.

POSCAR file:
```
Ca2SbRu
1.0
-5.2189 5.2189 2.5180
5.2189 -5.2189 2.5180
5.2189 5.2189 -2.5180
Ca Sb Ru
4 2 2
direct
0.3750 0.2041 0.3291
0.7959 0.1250 0.1709
0.8750 0.0459 0.6709
0.9541 0.6250 0.8291
0.2500 0.7500 0.5000
0.5000 0.5000 0.0000
0.0000 0.0000 0.0000
0.7500 0.2500 0.5000
```

Record 8
AcSnGe: optimized geometry, PBE-GGA.

Calculated values
The calculation puts the density of states at the Fermi level at 2.57 states/eV/cell. Its symmetry is P3m1 (156). The value obtained for the energy relative to the elements is -0.537 eV per atom. The energy above the lowest structure with this stoichiometry comes out at 1.5 kJ/mol of atoms. Its total DFT energy (no corrections) is -14.3 eV per cell.

POSCAR file:
```
AcSnGe
1.0
4.8427 0.0000 0.0000
-2.4214 4.1939 0.0000
0.0000 0.0000 4.4184
Ac Sn Ge
1 1 1
direct
0.0000 0.0000 0.0000
0.6667 0.3333 0.4991
0.3333 0.6667 0.5015
```

Record 9
Th2ZnTc: optimized geometry, PBE-GGA.

Calculated values
The calculation puts the density of states at the Fermi level at 7.10 states/eV/cell. Its symmetry is R-3m (166). The value obtained for the energy relative to the elements is 0.453 eV per atom. The energy above the lowest structure with this stoichiometry comes out at 63.3 kJ/mol of atoms. Its total DFT energy (no corrections) is -24.7 eV per cell.

POSCAR file:
```
Th2ZnTc
1.0
1.6883 0.9748 10.7978
-1.6883 0.9748 10.7978
0.0000 -1.9495 10.7978
Th Zn Tc
2 1 1
direct
0.0984 0.0984 0.0984
0.9016 0.9016 0.9016
0.0000 0.0000 0.0000
0.5000 0.5000 0.5000
```

Record 10
BeInRh: optimized geometry, PBE-GGA.

Calculated values
The calculation puts the density of states at the Fermi level at 0.87 states/eV/cell. Its symmetry is F-43m (216). The value obtained for the energy relative to the elements is -0.129 eV per atom. The energy above the lowest structure with this stoichiometry comes out at 15.8 kJ/mol of atoms. Its total DFT energy (no corrections) is -14.2 eV per cell.

POSCAR file:
```
BeInRh
1.0
0.0000 2.8492 2.8492
2.8492 0.0000 2.8492
2.8492 2.8492 0.0000
Be In Rh
1 1 1
direct
0.0000 0.0000 0.0000
0.2500 0.2500 0.2500
0.7500 0.7500 0.7500
```

Record 11
LiNd2As: optimized geometry, PBE-GGA.

Calculated values
The calculation puts the density of states at the Fermi level at 4.51 states/eV/cell. Its symmetry is R-3m (166). The value obtained for the energy relative to the elements is -0.427 eV per atom. The energy above the lowest structure with this stoichiometry comes out at 16.7 kJ/mol of atoms. Its total DFT energy (no corrections) is -17.8 eV per cell.

POSCAR file:
```
LiNd2As
1.0
1.9860 1.1466 10.4787
-1.9860 1.1466 10.4787
0.0000 -2.2932 10.4787
Li Nd As
1 2 1
direct
0.0000 0.0000 0.0000
0.1111 0.1111 0.1111
0.8889 0.8889 0.8889
0.5000 0.5000 0.5000
```

Record 12
ZnIr2Cl: optimized geometry, PBE-GGA.

Calculated values
The calculation puts the density of states at the Fermi level at 3.77 states/eV/cell. As for the uncorrected formation energy: 0.571 eV/atom. Its symmetry is Imm2 (44). The energy above the lowest structure with this stoichiometry comes out at 41.3 kJ/mol of atoms. Its total DFT energy (no corrections) is -18.6 eV per cell.

POSCAR file:
```
ZnIr2Cl
1.0
-1.3803 2.1116 5.7275
1.3803 -2.1116 5.7275
1.3803 2.1116 -5.7275
Zn Ir Cl
1 2 1
direct
0.0000 0.0000 0.0000
0.2236 0.7236 0.5000
0.4216 0.4216 0.0000
0.7111 0.2111 0.5000
```